No. 1
# V4CoIr3

A relaxed structure of V4CoIr3 (PBE, the Alexandria database).

```
data_V4CoIr3
_chemical_formula_sum 'V8 Co2 Ir6'
_space_group_name_H-M_alt 'C 1 2/m 1'
_space_group_IT_number 12
_space_group_name_Hall '-C 2y'
_cell_length_a 15.052
_cell_length_b 3.844
_cell_length_c 3.844
_cell_angle_alpha 90.00
_cell_angle_beta 104.71
_cell_angle_gamma 90.00
loop_
_atom_site_label
_atom_site_type_symbol
_atom_site_fract_x
_atom_site_fract_y
_atom_site_fract_z
V1 V 0.122 0.000 0.122
V2 V 0.122 0.500 0.622
Co1 Co 0.000 0.000 0.500
Ir1 Ir 0.000 0.500 0.000
Ir2 Ir 0.249 0.000 0.749
```

- V (Å³ per cell) = 215.1
- energy of formation (eV/atom) = -0.406
- total magnetic moment (μB per atom) = 0.00
- total DFT energy (no corrections) (hartree per atom) = -0.3372

No. 2
# V6Co5Ir

A relaxed structure of V6Co5Ir (PBE, the Alexandria database).

```
data_V6Co5Ir
_chemical_formula_sum 'V12 Co10 Ir2'
_space_group_name_H-M_alt 'I m m m'
_space_group_IT_number 71
_space_group_name_Hall '-I 2 2'
_cell_length_a 4.143
_cell_length_b 5.847
_cell_length_c 12.421
_cell_angle_alpha 90.00
_cell_angle_beta 90.00
_cell_angle_gamma 90.00
loop_
_atom_site_label
_atom_site_type_symbol
_atom_site_fract_x
_atom_site_fract_y
_atom_site_fract_z
V1 V 0.000 0.237 0.000
V2 V 0.000 0.256 0.328
Co1 Co 0.000 0.000 0.167
Co2 Co 0.000 0.500 0.163
Co3 Co 0.000 0.500 0.500
Ir1 Ir 0.000 0.000 0.500
```

- V (Å³ per cell) = 300.8
- energy of formation (eV/atom) = -0.128
- total magnetic moment (μB per atom) = 0.92
- total DFT energy (no corrections) (hartree per atom) = -0.3082

No. 3
# CoIrW2

A relaxed structure of CoIrW2 (PBE, the Alexandria database).

```
data_CoIrW2
_chemical_formula_sum 'Co1 Ir1 W2'
_space_group_name_H-M_alt 'P 4/m m m'
_space_group_IT_number 123
_space_group_name_Hall '-P 4 2'
_cell_length_a 3.845
_cell_length_b 3.845
_cell_length_c 3.859
_cell_angle_alpha 90.00
_cell_angle_beta 90.00
_cell_angle_gamma 90.00
loop_
_atom_site_label
_atom_site_type_symbol
_atom_site_fract_x
_atom_site_fract_y
_atom_site_fract_z
Co1 Co 0.000 0.000 0.000
Ir1 Ir 0.500 0.500 0.000
W1 W 0.000 0.500 0.500
```

- V (Å³ per cell) = 57.1
- energy of formation (eV/atom) = -0.122
- distance to the lowest polymorph of the same formula (eV/f.u.) = 0.00
- total magnetic moment (μB per atom) = 0.00
- total DFT energy (no corrections) (hartree per atom) = -0.3892

No. 4
# CoIrW

A relaxed structure of CoIrW (PBE, the Alexandria database).

```
data_CoIrW
_chemical_formula_sum 'Co1 Ir1 W1'
_space_group_name_H-M_alt 'P 3 m 1'
_space_group_IT_number 156
_space_group_name_Hall 'P 3 -2"'
_cell_length_a 2.7276
_cell_length_b 2.7276
_cell_length_c 6.5183
_cell_angle_alpha 90.00
_cell_angle_beta 90.00
_cell_angle_gamma 120.00
loop_
_atom_site_label
_atom_site_type_symbol
_atom_site_fract_x
_atom_site_fract_y
_atom_site_fract_z
Co1 Co 0.0000 0.0000 0.0000
Ir1 Ir 0.6667 0.3333 0.3309
W1 W 0.3333 0.6667 0.6767
```

- V (Å³ per cell) = 42.0
- energy of formation (eV/atom) = 0.079
- distance to the lowest polymorph of the same formula (eV/f.u.) = 0.60
- total magnetic moment (μB per atom) = 0.25
- total DFT energy (no corrections) (hartree per atom) = -0.3513